No. 1
Here is a relaxed TaTiNbRh crystal from Alexandria. Energies are from PBE-GGA.

```
data_TaTiNbRh
_chemical_formula_sum 'Ta1 Ti1 Nb1 Rh1'
_cell_length_a 3.2161
_cell_length_b 3.2161
_cell_length_c 6.4608
_cell_angle_alpha 90.00
_cell_angle_beta 90.00
_cell_angle_gamma 90.00
_symmetry_space_group_name_H-M 'P 1'
_symmetry_Int_Tables_number 1
loop_
_symmetry_equiv_pos_as_xyz
'x,y,z'
loop_
_atom_site_label
_atom_site_fract_x
_atom_site_fract_y
_atom_site_fract_z
Ta1 0.0000 0.0000 0.0000
Ti1 0.0000 0.0000 0.4904
Nb1 0.5000 0.5000 0.7395
Rh1 0.5000 0.5000 0.2450
```

## Properties
* calculated formation energy: -0.365 eV/atom
* polymorph energy (0 for the lowest one): 0 meV/atom
* SG: P4mm

---

No. 2
Here is a relaxed La2Zn4Pd crystal from Alexandria. Energies are from PBE-GGA.

```
data_La2Zn4Pd
_chemical_formula_sum 'La4 Zn8 Pd2'
_cell_length_a 4.7649
_cell_length_b 4.7649
_cell_length_c 15.4739
_cell_angle_alpha 90.00
_cell_angle_beta 90.00
_cell_angle_gamma 90.00
_symmetry_space_group_name_H-M 'P 1'
_symmetry_Int_Tables_number 1
loop_
_symmetry_equiv_pos_as_xyz
'x,y,z'
loop_
_atom_site_label
_atom_site_fract_x
_atom_site_fract_y
_atom_site_fract_z
La1 0.0000 0.0000 0.1402
La2 0.0000 0.0000 0.8598
La3 0.5000 0.5000 0.3598
La4 0.5000 0.5000 0.6402
Zn1 0.0000 0.0000 0.3371
Zn2 0.0000 0.0000 0.6629
Zn3 0.0000 0.5000 0.0000
Zn4 0.0000 0.5000 0.5000
Zn5 0.5000 0.0000 0.0000
Zn6 0.5000 0.0000 0.5000
Zn7 0.5000 0.5000 0.1629
Zn8 0.5000 0.5000 0.8371
Pd1 0.0000 0.0000 0.5000
Pd2 0.5000 0.5000 0.0000
```

## Properties
* calculated formation energy: -0.205 eV/atom
* SG: I4/mmm